Here is Zn2SbWO6 after structural relaxation from Alexandria via LeMat-Bulk. Energies are from PBE with a Hubbard U.

Cell: 5.456 5.473 9.739 Å, 56.99 90.00 90.00°
Site moments in Bohr magnetons follow the coordinates.
Atoms (fractional coordinates):
Zn 0.984 0.222 0.255  0.01
Zn 0.016 0.778 0.745  0.01
Zn 0.484 0.778 0.245  0.01
Zn 0.516 0.222 0.755  0.01
Sb 0.500 0.000 0.500  0.01
Sb 0.000 0.000 0.000  0.01
W 0.000 0.500 0.500  0.97
W 0.500 0.500 0.000  0.97
O 0.355 0.242 0.937  -0.01
O 0.855 0.758 0.563  -0.01
O 0.645 0.758 0.063  -0.01
O 0.184 0.554 0.084  0.00
O 0.879 0.150 0.728  0.00
O 0.316 0.554 0.584  0.00
O 0.145 0.242 0.437  -0.01
O 0.816 0.446 0.916  0.00
O 0.684 0.446 0.416  0.00
O 0.379 0.850 0.772  0.00
O 0.121 0.850 0.272  0.00
O 0.621 0.150 0.228  0.00

Output
DOS at the Fermi energy: 0.00 states/eV per cell
Energy: -5.84 eV/atom
Total magnetic moment: 0.99 μB/f.u.